BaLaI4: optimized geometry, PBE.

POSCAR file:
```
BaLaI4
1.0
7.568 0.039 0.000
-1.890 8.800 0.000
-2.839 -4.420 7.654
I La Ba
8 2 2
Direct
0.204 0.288 0.346
0.364 0.642 0.876
0.636 0.358 0.124
0.011 0.234 0.876
0.357 0.941 0.654
0.989 0.766 0.124
0.796 0.712 0.654
0.643 0.059 0.346
0.250 0.000 0.001
0.750 0.000 0.999
0.615 0.365 0.730
0.385 0.635 0.270
```

Results
For the energy relative to the elements, uncorrected, the calculation gives -1.60 eV/atom. For the mass density, the calculation gives 5.101 Mg/m³. Its symmetry is C2/c, No. 15.